[1]
## Mg2AsPt (PBE)

Data for crystalline Mg2AsPt at its relaxed geometry.

```
4
Lattice="3.616 0.000 0.000 0.000 3.616 0.000 0.000 0.000 5.613" Properties=species:S:1:pos:R:3 pbc="T T T"
Mg 0.000 0.000 5.496
Mg 1.808 1.808 1.635
Pt 0.000 0.000 2.603
As 1.808 1.808 4.299
```

Properties
The value obtained for the uncorrected energy is -15.39 eV/cell. As for the formation enthalpy at 0 K: -0.38 eV/atom.



[2]
## Tb4ErIn (PBE)

Data for crystalline Tb4ErIn at its relaxed geometry.

```
12
Lattice="5.563 0.000 0.000 0.000 6.434 0.000 -2.781 0.000 10.481" Properties=species:S:1:pos:R:3 pbc="T T T"
Tb 2.781 0.531 6.616
Tb 2.781 1.615 9.627
Tb 2.781 3.575 5.291
Tb 0.000 3.748 3.866
Tb 0.000 0.358 5.191
Tb 0.000 5.975 9.161
Tb 2.781 2.758 1.320
Tb 0.000 4.832 0.854
Er 2.781 5.984 2.862
Er 0.000 2.767 7.619
In 0.000 1.194 2.180
In 2.781 4.411 8.301
```

Properties
Its energy above the most stable polymorph in this dataset is 0.143 eV per atom. The value obtained for the uncorrected energy is -51.71 eV/cell. As for the formation enthalpy at 0 K: -0.01 eV/atom.



[3]
## Ho12Tm6Sc (PBE)

Data for crystalline Ho12Tm6Sc at its relaxed geometry.

```
19
Lattice="8.328 0.714 0.855 -0.557 8.340 0.855 -0.557 -0.649 8.358" Properties=species:S:1:pos:R:3 pbc="T T T"
Tm 5.515 7.889 3.931
Tm 0.252 5.725 2.826
Tm 1.593 5.824 8.465
Tm 1.699 0.516 6.138
Tm 6.962 2.680 7.243
Tm 5.621 2.581 1.604
Ho 5.934 4.780 4.775
Ho 3.825 3.521 7.337
Ho 7.422 6.982 6.902
Ho 4.314 1.957 4.513
Ho 3.390 4.884 2.732
Ho 1.438 3.114 0.576
Ho 1.280 3.625 5.294
Ho 5.777 5.291 9.493
Ho 2.860 0.228 1.966
Ho -0.208 1.423 3.167
Ho 2.900 6.448 5.556
Ho 4.354 8.177 8.103
Sc 0.000 0.000 0.000
```

Properties
Its energy above the most stable polymorph in this dataset is 0.000 eV per atom. The value obtained for the uncorrected energy is -85.04 eV/cell. As for the formation enthalpy at 0 K: 0.16 eV/atom.